1.
# Pm3Al3Cd | Alexandria via LeMat-Bulk | PBE | relaxed
# Formation enthalpy at 0 K: -0.3725 eV/atom
# Magnetization: 0.0 Bohr magnetons per cell
# ρ: 5732 kg/m³
data_Pm3Al3Cd
_chemical_formula_sum 'Pm6 Al6 Cd2'
_space_group_name_H-M_alt 'P 1'
_space_group_IT_number 1
_space_group_name_Hall 'P 1'
_cell_length_a 4.6604
_cell_length_b 6.0847
_cell_length_c 14.1224
_cell_angle_alpha 82.83
_cell_angle_beta 80.50
_cell_angle_gamma 67.48
loop_
_atom_site_label
_atom_site_type_symbol
_atom_site_fract_x
_atom_site_fract_y
_atom_site_fract_z
Pm1 Pm 0.5383 0.3033 0.6202
Pm2 Pm 0.4617 0.6967 0.3798
Pm3 Pm 0.2576 0.2703 0.2145
Pm4 Pm 0.7424 0.7297 0.7855
Pm5 Pm 0.4021 0.2779 0.9180
Pm6 Pm 0.5979 0.7221 0.0820
Al1 Al 0.8777 0.6975 0.5472
Al2 Al 0.1223 0.3025 0.4528
Al3 Al 0.1077 0.8549 0.9297
Al4 Al 0.8923 0.1451 0.0703
Al5 Al 0.9604 0.8483 0.2309
Al6 Al 0.0396 0.1517 0.7691
Cd1 Cd 0.7512 0.1028 0.3948
Cd2 Cd 0.2488 0.8972 0.6052

2.
# CeHo4Er5 | Alexandria via LeMat-Bulk | PBE | relaxed
# Formation enthalpy at 0 K: 0.0903 eV/atom
# Magnetization: 1.5 Bohr magnetons per cell
# Energy above the most stable polymorph in this dataset: 0 meV per atom
# ρ: 8657 kg/m³
data_CeHo4Er5
_chemical_formula_sum 'Ce1 Ho4 Er5'
_space_group_name_H-M_alt 'P 1'
_space_group_IT_number 1
_space_group_name_Hall 'P 1'
_cell_length_a 3.6350
_cell_length_b 8.1430
_cell_length_c 10.8376
_cell_angle_alpha 96.96
_cell_angle_beta 99.65
_cell_angle_gamma 90.00
loop_
_atom_site_label
_atom_site_type_symbol
_atom_site_fract_x
_atom_site_fract_y
_atom_site_fract_z
Ce1 Ce 0.5000 0.0000 0.0000
Ho1 Ho 0.3142 0.9474 0.6284
Ho2 Ho 0.8874 0.6670 0.7748
Ho3 Ho 0.6858 0.0526 0.3716
Ho4 Ho 0.1126 0.3330 0.2252
Er1 Er 0.7179 0.6424 0.4358
Er2 Er 0.9040 0.2433 0.8080
Er3 Er 0.0960 0.7567 0.1920
Er4 Er 0.5000 0.5000 0.0000
Er5 Er 0.2821 0.3576 0.5642

3.
# CsSi2Ge6 | Alexandria via LeMat-Bulk | PBE | relaxed
# Magnetization: 0.0 Bohr magnetons per cell
# Uncorrected formation energy: 195 meV per atom
# ρ: 3728 kg/m³
data_CsSi2Ge6
_chemical_formula_sum 'Cs2 Si4 Ge12'
_space_group_name_H-M_alt 'P 1'
_space_group_IT_number 1
_space_group_name_Hall 'P 1'
_cell_length_a 11.5646
_cell_length_b 9.1854
_cell_length_c 9.1666
_cell_angle_alpha 78.12
_cell_angle_beta 51.01
_cell_angle_gamma 50.87
loop_
_atom_site_label
_atom_site_type_symbol
_atom_site_fract_x
_atom_site_fract_y
_atom_site_fract_z
Cs1 Cs 0.0408 0.4592 0.4592
Cs2 Cs 0.7908 0.2092 0.2092
Si1 Si 0.5567 0.9201 0.3191
Si2 Si 0.2041 0.3191 0.9201
Si3 Si 0.9309 0.0459 0.6933
Si4 Si 0.3299 0.6933 0.0459
Ge1 Ge 0.9285 0.6887 0.0561
Ge2 Ge 0.3268 0.0561 0.6887
Ge3 Ge 0.1939 0.9232 0.3215
Ge4 Ge 0.5613 0.3215 0.9232
Ge5 Ge 0.3276 0.0648 0.0604
Ge6 Ge 0.5472 0.0604 0.0648
Ge7 Ge 0.1896 0.7028 0.9224
Ge8 Ge 0.1852 0.9224 0.7028
Ge9 Ge 0.9107 0.7854 0.7837
Ge10 Ge 0.5203 0.7837 0.7854
Ge11 Ge 0.4663 0.7297 0.3393
Ge12 Ge 0.4646 0.3393 0.7297

4.
# ZrCuP2O12 | Alexandria via LeMat-Bulk | PBE | relaxed
# Magnetization: 0.7 Bohr magnetons per cell
# Energy above the most stable polymorph in this dataset: 0 meV per atom
# Uncorrected formation energy: -1660 meV per atom
# ρ: 2792 kg/m³
data_ZrCuP2O12
_chemical_formula_sum 'Zr1 Cu1 P2 O12'
_space_group_name_H-M_alt 'P 1'
_space_group_IT_number 1
_space_group_name_Hall 'P 1'
_cell_length_a 5.4629
_cell_length_b 5.4558
_cell_length_c 9.5655
_cell_angle_alpha 97.21
_cell_angle_beta 79.36
_cell_angle_gamma 119.74
loop_
_atom_site_label
_atom_site_type_symbol
_atom_site_fract_x
_atom_site_fract_y
_atom_site_fract_z
O1 O 0.2242 0.3308 0.8573
O2 O 0.7758 0.6692 0.1427
O3 O 0.8522 0.1122 0.4987
O4 O 0.1478 0.8878 0.5013
O5 O 0.4148 0.6773 0.6597
O6 O 0.5852 0.3227 0.3403
O7 O 0.2315 0.8030 0.8972
O8 O 0.7685 0.1970 0.1028
O9 O 0.8099 0.8942 0.4254
O10 O 0.1901 0.1058 0.5746
O11 O 0.6907 0.7795 0.8639
O12 O 0.3093 0.2205 0.1361
P1 P 0.3899 0.6455 0.8225
P2 P 0.6101 0.3545 0.1775
Cu1 Cu 0.5000 0.5000 0.5000
Zr1 Zr 0.0000 0.0000 0.0000

5.
# KHfSb2O8 | Alexandria via LeMat-Bulk | PBE | relaxed
# Magnetization: 1.0 Bohr magnetons per cell
# Uncorrected formation energy: -1699 meV per atom
# ρ: 5896 kg/m³
data_KHfSb2O8
_chemical_formula_sum 'K1 Hf1 Sb2 O8'
_space_group_name_H-M_alt 'P 1'
_space_group_IT_number 1
_space_group_name_Hall 'P 1'
_cell_length_a 4.9471
_cell_length_b 4.9456
_cell_length_c 6.7941
_cell_angle_alpha 89.99
_cell_angle_beta 89.99
_cell_angle_gamma 86.51
loop_
_atom_site_label
_atom_site_type_symbol
_atom_site_fract_x
_atom_site_fract_y
_atom_site_fract_z
K1 K 0.0000 0.0000 0.5000
Hf1 Hf 0.0000 0.0000 0.0000
Sb1 Sb 0.5000 0.5000 0.7680
Sb2 Sb 0.5000 0.5000 0.2320
O1 O 0.2160 0.7834 0.2112
O2 O 0.6941 0.6946 0.0000
O3 O 0.7840 0.2165 0.2112
O4 O 0.7840 0.2166 0.7888
O5 O 0.3059 0.3054 0.0000
O6 O 0.2160 0.7835 0.7888
O7 O 0.6497 0.6504 0.5000
O8 O 0.3503 0.3496 0.5000

6.
# Ti6Al3N | Alexandria via LeMat-Bulk | PBE | relaxed
# Magnetization: 0.0 Bohr magnetons per cell
# Uncorrected formation energy: -434 meV per atom
# ρ: 3904 kg/m³
data_Ti6Al3N
_chemical_formula_sum 'Ti6 Al3 N1'
_space_group_name_H-M_alt 'P 1'
_space_group_IT_number 1
_space_group_name_Hall 'P 1'
_cell_length_a 6.2683
_cell_length_b 5.5065
_cell_length_c 5.5065
_cell_angle_alpha 61.32
_cell_angle_beta 78.97
_cell_angle_gamma 78.97
loop_
_atom_site_label
_atom_site_type_symbol
_atom_site_fract_x
_atom_site_fract_y
_atom_site_fract_z
Ti1 Ti 0.3704 0.1383 0.6336
Ti2 Ti 0.6296 0.3664 0.8617
Ti3 Ti 0.6296 0.8617 0.3664
Ti4 Ti 0.3704 0.6336 0.1383
Ti5 Ti 0.1855 0.6559 0.6559
Ti6 Ti 0.8145 0.3441 0.3441
Al1 Al 0.2511 0.1694 0.1694
Al2 Al 0.7489 0.8306 0.8306
Al3 Al 0.0000 0.0000 0.0000
N1 N 0.5000 0.5000 0.5000

7.
# Mg6Cd2Pb | Alexandria via LeMat-Bulk | PBE | relaxed
# Formation enthalpy at 0 K: -0.0259 eV/atom
# Magnetization: 0.0 Bohr magnetons per cell
# Energy above the most stable polymorph in this dataset: 0 meV per atom
# ρ: 4558 kg/m³
data_Mg6Cd2Pb
_chemical_formula_sum 'Mg12 Cd4 Pb2'
_space_group_name_H-M_alt 'P 1'
_space_group_IT_number 1
_space_group_name_Hall 'P 1'
_cell_length_a 5.3923
_cell_length_b 9.4885
_cell_length_c 9.4885
_cell_angle_alpha 119.82
_cell_angle_beta 89.27
_cell_angle_gamma 89.27
loop_
_atom_site_label
_atom_site_type_symbol
_atom_site_fract_x
_atom_site_fract_y
_atom_site_fract_z
Mg1 Mg 0.4951 0.6659 0.5091
Mg2 Mg 0.0049 0.4909 0.3341
Mg3 Mg 0.5049 0.3341 0.4909
Mg4 Mg 0.9951 0.5091 0.6659
Mg5 Mg 0.2489 0.9186 0.4187
Mg6 Mg 0.2511 0.5813 0.0814
Mg7 Mg 0.7511 0.0814 0.5813
Mg8 Mg 0.7489 0.4187 0.9186
Mg9 Mg 0.0049 0.8340 0.9909
Mg10 Mg 0.4951 0.0091 0.1660
Mg11 Mg 0.9951 0.1660 0.0091
Mg12 Mg 0.5049 0.9909 0.8340
Cd1 Cd 0.5000 0.6639 0.8360
Cd2 Cd 0.0000 0.1640 0.3361
Cd3 Cd 0.5000 0.3361 0.1640
Cd4 Cd 0.0000 0.8360 0.6639
Pb1 Pb 0.2500 0.2501 0.7499
Pb2 Pb 0.7500 0.7499 0.2501

8.
# Li2AcAgO4 | Alexandria via LeMat-Bulk | PBE | relaxed
# Magnetization: 2.0 Bohr magnetons per cell
# Uncorrected formation energy: -1591 meV per atom
# ρ: 6436 kg/m³
data_Li2AcAgO4
_chemical_formula_sum 'Li2 Ac1 Ag1 O4'
_space_group_name_H-M_alt 'P 1'
_space_group_IT_number 1
_space_group_name_Hall 'P 1'
_cell_length_a 5.2210
_cell_length_b 5.2210
_cell_length_c 5.2210
_cell_angle_alpha 98.23
_cell_angle_beta 115.37
_cell_angle_gamma 115.37
loop_
_atom_site_label
_atom_site_type_symbol
_atom_site_fract_x
_atom_site_fract_y
_atom_site_fract_z
Li1 Li 0.5000 0.7500 0.2500
Li2 Li 0.5000 0.2500 0.7500
Ac1 Ac 0.0000 0.0000 0.0000
Ag1 Ag 0.0000 0.5000 0.5000
O1 O 0.0000 0.0834 0.5299
O2 O 0.5535 0.4701 0.4701
O3 O 0.4465 0.9166 0.9166
O4 O 0.0000 0.5299 0.0834

Q: What is the formula in the fourth record?
A: ZrCuP2O12